Record 1
GGA-PBE CrCu2Cl5, optimized geometry; crystal system = monoclinic; space-group type = Cm, No. 8; energy = -4.050 eV per atom
1.0
-5.768 -0.400 0.743
-1.981 -5.826 1.679
-1.842 0.377 6.098
Cl Cr Cu
5 1 2
Direct
0.732 0.278 0.278
0.681 0.955 0.954
0.387 0.752 0.752
0.075 0.734 0.321
0.075 0.322 0.734
0.026 0.006 0.006
0.513 0.100 0.631
0.513 0.631 0.100

---

Record 2
GGA-PBE CrCuCl2, optimized geometry; crystal system = orthorhombic; space-group type = Cmmm, No. 65; energy = -4.421 eV per atom
1.0
3.794 0.000 0.000
-2.136 3.136 0.000
0.000 0.000 7.085
Cl Cr Cu
2 1 1
Direct
0.000 0.000 0.989
0.000 0.000 0.511
0.500 0.500 0.250
0.500 0.500 0.750

---

Record 3
GGA-PBE CrCuCl2, optimized geometry; crystal system = cubic; space-group type = Fm-3m, No. 225; energy = -4.295 eV per atom
1.0
-3.854 -2.534 0.317
-3.437 0.631 -3.028
-0.907 -3.236 -3.175
Cr Cl Cu
1 2 1
Direct
0.000 0.000 0.000
0.250 0.250 0.250
0.750 0.750 0.750
0.500 0.500 0.500